Version one
NaCrSe2N | PBE | optimized geometry

Cell lengths 5.097, 5.097, 3.556 Å; angles 90.00, 90.00, 90.00 degrees
Site moments in Bohr magnetons follow the coordinates.
Sites, in units of the cell vectors:
Cr  0.000  0.000  0.000  1.41
N  0.000  0.000  0.500  -0.30
Se  0.000  0.500  0.000  -0.15
Se  0.500  0.000  0.000  -0.15
Na  0.500  0.500  0.500  0.00

Output
Crystal system: tetragonal
Space group: No. 123
M_tot, μB per cell: 0.7
Volume, Å³ per cell: 92


Version two
NaCrSe2N | PBE | optimized geometry

Cell lengths 5.202, 5.202, 4.198 Å; angles 90.00, 90.00, 90.00 degrees
Site moments in Bohr magnetons follow the coordinates.
Sites, in units of the cell vectors:
Cr  0.500  0.500  0.500  3.97
N  0.000  0.000  0.500  1.68
Se  0.000  0.500  0.000  -0.18
Se  0.500  0.000  0.000  -0.18
Na  0.000  0.000  0.000  0.02

Output
Crystal system: tetragonal
Space group: No. 123
M_tot, μB per cell: 6.4
Volume, Å³ per cell: 114


From most stable to least stable, the computed energies give version one, version two.


Version one
Nb2CrN | PBE | optimized geometry

Cell lengths 3.069, 3.069, 6.907 Å; angles 77.17, 77.17, 60.00 degrees
Sites, in units of the cell vectors:
Cr  0.500  0.500  0.500
Nb  0.732  0.732  0.804
Nb  0.268  0.268  0.196
N  0.000  0.000  0.000

Output
Crystal system: trigonal
Space group: No. 166
M_tot, μB per cell: 0.0
Volume, Å³ per cell: 54


Version two
Nb2CrN | PBE | optimized geometry

Cell lengths 4.241, 4.241, 4.241 Å; angles 60.00, 60.00, 60.00 degrees
Site moments in Bohr magnetons follow the coordinates.
Sites, in units of the cell vectors:
Cr  0.500  0.500  0.500  0.41
Nb  0.250  0.250  0.250  -0.06
Nb  0.750  0.750  0.750  -0.06
N  0.000  0.000  0.000  0.05

Output
Crystal system: cubic
Space group: No. 225
M_tot, μB per cell: 0.4
Volume, Å³ per cell: 54


Version three
Nb2CrN | PBE | optimized geometry

Cell lengths 6.176, 6.176, 5.325 Å; angles 54.56, 54.56, 90.00 degrees
Sites, in units of the cell vectors:
Cr  0.000  0.000  0.000
Cr  0.750  0.250  0.500
Nb  0.564  0.125  0.250
Nb  0.186  0.625  0.250
Nb  0.375  0.436  0.750
Nb  0.875  0.814  0.750
N  0.500  0.500  0.000
N  0.250  0.750  0.500

Output
Crystal system: tetragonal
Space group: No. 122
M_tot, μB per cell: 0.0
Volume, Å³ per cell: 116


From most stable to least stable, the computed energies give version one, version three, version two.


Version one
NbCrN | PBE | optimized geometry

Cell lengths 3.038, 3.038, 7.413 Å; angles 90.00, 90.00, 90.00 degrees
Sites, in units of the cell vectors:
Nb  0.500  0.000  0.178
Nb  0.000  0.500  0.822
Cr  0.000  0.500  0.414
Cr  0.500  0.000  0.586
N  0.000  0.500  0.139
N  0.500  0.000  0.861

Output
Crystal system: tetragonal
Space group: No. 129
M_tot, μB per cell: 0.0
Volume, Å³ per cell: 68


Version two
NbCrN | PBE | optimized geometry

Cell lengths 4.532, 3.019, 3.019 Å; angles 120.00, 90.00, 90.00 degrees
Site moments in Bohr magnetons follow the coordinates.
Sites, in units of the cell vectors:
Cr  0.229  0.333  0.667  0.34
Nb  0.739  0.667  0.333  -0.06
N  0.032  0.000  0.000  -0.01

Output
Crystal system: trigonal
Space group: No. 156
M_tot, μB per cell: 0.3
Volume, Å³ per cell: 36


From most stable to least stable, the computed energies give version one, version two.


Version one
NbCrN | PBE | optimized geometry

Cell lengths 2.639, 2.639, 5.214 Å; angles 104.66, 104.66, 90.00 degrees
Site moments in Bohr magnetons follow the coordinates.
Sites, in units of the cell vectors:
Cr  0.286  0.286  0.572  -0.29
Nb  0.016  0.016  0.031  0.01
N  0.698  0.698  0.396  0.03

Output
Crystal system: tetragonal
Space group: No. 107
M_tot, μB per cell: 0.3
Volume, Å³ per cell: 34


Version two
NbCrN | PBE | optimized geometry

Cell lengths 3.023, 4.694, 10.013 Å; angles 90.00, 90.00, 90.00 degrees
Site moments in Bohr magnetons follow the coordinates.
Sites, in units of the cell vectors:
Cr  0.250  0.749  0.293  0.98
Cr  0.750  0.251  0.707  0.98
Cr  0.750  0.249  0.207  0.98
Cr  0.250  0.751  0.793  0.98
N  0.250  0.019  0.642  -0.03
N  0.750  0.981  0.358  -0.03
N  0.750  0.519  0.858  -0.03
N  0.250  0.481  0.142  -0.03
Nb  0.250  0.253  0.452  -0.07
Nb  0.750  0.747  0.548  -0.07
Nb  0.750  0.753  0.048  -0.07
Nb  0.250  0.247  0.952  -0.07

Output
Crystal system: orthorhombic
Space group: No. 62
M_tot, μB per cell: 3.6
Volume, Å³ per cell: 142


From most stable to least stable, the computed energies give version two, version one.


Version one
NbCrSeN2 | PBE | optimized geometry

Cell lengths 3.991, 3.991, 5.481 Å; angles 90.00, 90.00, 90.00 degrees
Site moments in Bohr magnetons follow the coordinates.
Sites, in units of the cell vectors:
Cr  0.500  0.500  0.500  3.90
Nb  0.000  0.000  0.000  0.13
Se  0.000  0.000  0.500  -0.11
N  0.000  0.500  0.000  -0.31
N  0.500  0.000  0.000  -0.31

Output
Crystal system: tetragonal
Space group: No. 123
M_tot, μB per cell: 3.4
Volume, Å³ per cell: 87


Version two
NbCrSeN2 | PBE | optimized geometry

Cell lengths 3.748, 3.748, 4.967 Å; angles 90.00, 90.00, 90.00 degrees
Site moments in Bohr magnetons follow the coordinates.
Sites, in units of the cell vectors:
Cr  0.000  0.000  0.000  1.32
Nb  0.500  0.500  0.500  1.55
Se  0.000  0.000  0.500  -0.06
N  0.000  0.500  0.000  -0.36
N  0.500  0.000  0.000  -0.36

Output
Crystal system: tetragonal
Space group: No. 123
M_tot, μB per cell: 2.2
Volume, Å³ per cell: 70


From most stable to least stable, the computed energies give version one, version two.


Version one
NbCrTeN2 | PBE | optimized geometry

Cell lengths 4.023, 4.023, 5.971 Å; angles 90.00, 90.00, 90.00 degrees
Site moments in Bohr magnetons follow the coordinates.
Sites, in units of the cell vectors:
Cr  0.500  0.500  0.500  3.89
Nb  0.000  0.000  0.000  -0.01
Te  0.000  0.000  0.500  -0.10
N  0.000  0.500  0.000  0.20
N  0.500  0.000  0.000  0.20

Output
Crystal system: tetragonal
Space group: No. 123
M_tot, μB per cell: 4.8
Volume, Å³ per cell: 97


Version two
NbCrTeN2 | PBE | optimized geometry

Cell lengths 3.861, 3.861, 5.418 Å; angles 90.00, 90.00, 90.00 degrees
Site moments in Bohr magnetons follow the coordinates.
Sites, in units of the cell vectors:
Cr  0.000  0.000  0.000  1.86
Nb  0.500  0.500  0.500  1.83
Te  0.000  0.000  0.500  -0.09
N  0.000  0.500  0.000  -0.53
N  0.500  0.000  0.000  -0.53

Output
Crystal system: tetragonal
Space group: No. 123
M_tot, μB per cell: 2.6
Volume, Å³ per cell: 81


From most stable to least stable, the computed energies give version one, version two.


Version one
NbCrTe2N | PBE | optimized geometry

Cell lengths 5.321, 5.321, 3.533 Å; angles 90.00, 90.00, 90.00 degrees
Site moments in Bohr magnetons follow the coordinates.
Sites, in units of the cell vectors:
Cr  0.000  0.000  0.000  1.79
Nb  0.500  0.500  0.500  1.63
Te  0.000  0.500  0.000  -0.12
Te  0.500  0.000  0.000  -0.12
N  0.000  0.000  0.500  -0.24

Output
Crystal system: tetragonal
Space group: No. 123
M_tot, μB per cell: 3.3
Volume, Å³ per cell: 100


Version two
NbCrTe2N | PBE | optimized geometry

Cell lengths 5.538, 5.538, 3.874 Å; angles 90.00, 90.00, 90.00 degrees
Site moments in Bohr magnetons follow the coordinates.
Sites, in units of the cell vectors:
Cr  0.500  0.500  0.500  -0.27
Nb  0.000  0.000  0.000  -0.26
Te  0.000  0.500  0.000  0.09
Te  0.500  0.000  0.000  0.09
N  0.000  0.000  0.500  0.04

Output
Crystal system: tetragonal
Space group: No. 123
M_tot, μB per cell: 0.2
Volume, Å³ per cell: 119


From most stable to least stable, the computed energies give version one, version two.


Version one
Nd2CrN4 | PBE | optimized geometry

Cell lengths 5.487, 7.201, 9.968 Å; angles 90.00, 90.00, 90.00 degrees
Sites, in units of the cell vectors:
Nd  0.750  0.517  0.311
Nd  0.250  0.483  0.689
Nd  0.250  0.983  0.811
Nd  0.750  0.017  0.189
Nd  0.750  0.848  0.572
Nd  0.250  0.152  0.428
Nd  0.250  0.652  0.072
Nd  0.750  0.348  0.928
Cr  0.750  0.775  0.926
Cr  0.250  0.225  0.074
Cr  0.250  0.725  0.426
Cr  0.750  0.275  0.574
N  0.494  0.676  0.856
N  0.506  0.324  0.144
N  0.506  0.824  0.356
N  0.994  0.324  0.144
N  0.494  0.176  0.644
N  0.006  0.676  0.856
N  0.006  0.176  0.644
N  0.994  0.824  0.356
N  0.750  0.015  0.914
N  0.250  0.985  0.086
N  0.250  0.485  0.414
N  0.750  0.515  0.586
N  0.750  0.205  0.406
N  0.250  0.795  0.594
N  0.250  0.295  0.906
N  0.750  0.705  0.094

Output
Crystal system: orthorhombic
Space group: No. 62
M_tot, μB per cell: 0.0
Volume, Å³ per cell: 394


Version two
Nd2CrN4 | PBE | optimized geometry

Cell lengths 3.741, 3.741, 6.909 Å; angles 74.29, 74.29, 90.00 degrees
Site moments in Bohr magnetons follow the coordinates.
Sites, in units of the cell vectors:
Cr  0.000  0.000  0.000  -0.13
Nd  0.646  0.646  0.708  0.00
Nd  0.354  0.354  0.292  0.00
N  0.836  0.836  0.329  0.01
N  0.164  0.164  0.671  0.01
N  0.000  0.500  0.000  0.04
N  0.500  0.000  0.000  0.04

Output
Crystal system: tetragonal
Space group: No. 139
M_tot, μB per cell: 0.0
Volume, Å³ per cell: 89


From most stable to least stable, the computed energies give version one, version two.


Version one
CrNiN2 | PBE | optimized geometry

Cell lengths 4.326, 4.326, 5.307 Å; angles 65.95, 65.95, 90.00 degrees
Sites, in units of the cell vectors:
Ni  0.000  0.000  0.000
Ni  0.750  0.250  0.500
N  0.601  0.125  0.250
N  0.149  0.625  0.250
N  0.375  0.399  0.750
N  0.875  0.851  0.750
Cr  0.500  0.500  0.000
Cr  0.250  0.750  0.500

Output
Crystal system: tetragonal
Space group: No. 122
M_tot, μB per cell: 0.0
Volume, Å³ per cell: 81


Version two
CrNiN2 | PBE | optimized geometry

Cell lengths 3.568, 3.568, 3.568 Å; angles 60.00, 60.00, 60.00 degrees
Sites, in units of the cell vectors:
Ni  0.500  0.500  0.500
N  0.250  0.250  0.250
N  0.750  0.750  0.750
Cr  0.000  0.000  0.000

Output
Crystal system: cubic
Space group: No. 225
M_tot, μB per cell: 0.0
Volume, Å³ per cell: 32


Version three
CrNiN2 | PBE | optimized geometry

Cell lengths 6.132, 6.132, 6.132 Å; angles 25.58, 25.58, 25.58 degrees
Sites, in units of the cell vectors:
Ni  0.000  0.000  0.000
N  0.898  0.898  0.898
N  0.102  0.102  0.102
Cr  0.500  0.500  0.500

Output
Crystal system: trigonal
Space group: No. 166
M_tot, μB per cell: 0.0
Volume, Å³ per cell: 38


Version four
CrNiN2 | PBE | optimized geometry

Cell lengths 2.752, 2.752, 10.050 Å; angles 90.00, 90.00, 119.77 degrees
Sites, in units of the cell vectors:
Cr  0.655  0.345  0.250
Cr  0.345  0.655  0.750
Ni  0.000  0.000  0.000
Ni  0.000  0.000  0.500
N  0.320  0.680  0.131
N  0.680  0.320  0.869
N  0.680  0.320  0.631
N  0.320  0.680  0.369

Output
Crystal system: orthorhombic
Space group: No. 63
M_tot, μB per cell: 0.0
Volume, Å³ per cell: 66


From most stable to least stable, the computed energies give version one, version three, version four, version two.


Version one
Cr2Ni2N | PBE | optimized geometry

Cell lengths 3.019, 3.019, 6.634 Å; angles 76.85, 76.85, 90.00 degrees
Sites, in units of the cell vectors:
Ni  0.410  0.410  0.181
Ni  0.590  0.590  0.819
N  0.000  0.000  0.000
Cr  0.750  0.250  0.500
Cr  0.250  0.750  0.500

Output
Crystal system: tetragonal
Space group: No. 139
M_tot, μB per cell: 0.0
Volume, Å³ per cell: 57


Version two
Cr2Ni2N | PBE | optimized geometry

Cell lengths 5.039, 5.039, 4.289 Å; angles 90.00, 90.00, 90.00 degrees
Site moments in Bohr magnetons follow the coordinates.
Sites, in units of the cell vectors:
Ni  0.322  0.822  0.000  0.02
Ni  0.822  0.678  0.000  0.02
Ni  0.678  0.178  0.000  0.02
Ni  0.178  0.322  0.000  0.02
N  0.000  0.000  0.000  -0.02
N  0.500  0.500  0.000  -0.02
Cr  0.142  0.642  0.500  0.53
Cr  0.642  0.858  0.500  0.52
Cr  0.858  0.358  0.500  0.53
Cr  0.358  0.142  0.500  0.52

Output
Crystal system: tetragonal
Space group: No. 127
M_tot, μB per cell: 2.3
Volume, Å³ per cell: 109


From most stable to least stable, the computed energies give version two, version one.


Version one
CrNi2PtN | PBE | optimized geometry

Cell lengths 3.845, 3.845, 3.828 Å; angles 90.00, 90.00, 90.00 degrees
Site moments in Bohr magnetons follow the coordinates.
Sites, in units of the cell vectors:
Ni  0.000  0.500  0.000  0.10
Ni  0.500  0.000  0.000  0.10
N  0.000  0.000  0.000  -0.10
Pt  0.500  0.500  0.500  0.17
Cr  0.000  0.000  0.500  2.02

Output
Crystal system: tetragonal
Space group: No. 123
M_tot, μB per cell: 2.3
Volume, Å³ per cell: 57


Version two
CrNi2PtN | PBE | optimized geometry

Cell lengths 4.179, 4.537, 4.179 Å; angles 90.00, 90.00, 90.00 degrees
Sites, in units of the cell vectors:
Ni  0.000  0.000  0.500
Ni  0.500  0.000  0.000
N  0.500  0.500  0.500
Pt  0.000  0.500  0.000
Cr  0.000  0.000  0.000

Output
Crystal system: tetragonal
Space group: No. 123
M_tot, μB per cell: 0.0
Volume, Å³ per cell: 79


From most stable to least stable, the computed energies give version one, version two.


Version one
CrNi2RhN | PBE | optimized geometry

Cell lengths 3.804, 3.804, 3.807 Å; angles 90.00, 90.00, 90.00 degrees
Site moments in Bohr magnetons follow the coordinates.
Sites, in units of the cell vectors:
Ni  0.000  0.500  0.000  -0.07
Ni  0.500  0.000  0.000  -0.07
N  0.000  0.000  0.000  -0.07
Rh  0.500  0.500  0.500  0.02
Cr  0.000  0.000  0.500  1.48

Output
Crystal system: tetragonal
Space group: No. 123
M_tot, μB per cell: 1.3
Volume, Å³ per cell: 55


Version two
CrNi2RhN | PBE | optimized geometry

Cell lengths 4.352, 3.492, 4.352 Å; angles 90.00, 90.00, 90.00 degrees
Sites, in units of the cell vectors:
Ni  0.000  0.000  0.500
Ni  0.500  0.000  0.000
N  0.000  0.500  0.000
Rh  0.500  0.500  0.500
Cr  0.000  0.000  0.000

Output
Crystal system: tetragonal
Space group: No. 123
M_tot, μB per cell: 0.0
Volume, Å³ per cell: 66


From most stable to least stable, the computed energies give version one, version two.